ReB3Br: optimized geometry, PBE-GGA.

Cell lengths 4.0056, 4.0056, 4.0056 Å; angles 90.00, 90.00, 90.00 degrees
Atoms (fractional coordinates):
Re1 0.0000 0.0000 0.0000
B1 0.0000 0.5000 0.5000
B2 0.5000 0.0000 0.5000
B3 0.5000 0.5000 0.0000
Br1 0.5000 0.5000 0.5000

Energy relative to the lowest polymorph listed for this composition: 1427 meV per atom
Calculated total energy: -3.93 eV per atom
DOS at the Fermi energy: 5.0 states/eV/cell
Density: 7.71 Mg/m³
Raw formation energy: 2.897 eV per atom
Total magnetization: 1.5 μB/f.u.